--- i ---
First-principles (PBE) data for an optimized crystal structure of ScGeAu2C, as listed in Alexandria via LeMat-Bulk.

Cell lengths 4.721, 4.721, 5.179 Å; angles 90.00, 90.00, 90.00 degrees
Space group P4/mmm (No. 123)
Asymmetric unit:
1 Sc 0.000 0.000 0.000
2 Ge 0.000 0.000 0.500
3 Au 0.000 0.500 0.500
4 C 0.500 0.500 0.000

Properties
- M_tot: 0.60 μB per cell
- Density of states at the Fermi level: 3.2 states/eV/f.u.
- ρ: 7531 kg/m³
- Calculated volume: 23.1 A^3/atom

--- ii ---
First-principles (PBE) data for an optimized crystal structure of ScGeAu2C, as listed in Alexandria via LeMat-Bulk.

Cell lengths 4.320, 4.320, 4.533 Å; angles 90.00, 90.00, 90.00 degrees
Space group P4/mmm (No. 123)
Asymmetric unit:
1 Sc 0.000 0.000 0.000
2 Ge 0.500 0.500 0.000
3 Au 0.000 0.500 0.500
4 C 0.000 0.000 0.500

Properties
- M_tot: 0.00 μB per cell
- Density of states at the Fermi level: 2.1 states/eV/f.u.
- ρ: 10274 kg/m³
- Calculated volume: 16.9 A^3/atom

Winner for stability: ii

--- i ---
First-principles (PBE) data for an optimized crystal structure of HfAuC2, as listed in Alexandria via LeMat-Bulk.

Cell lengths 5.795, 5.795, 5.795 Å; angles 90.00, 90.00, 90.00 degrees
Space group Fm-3m (No. 225)
Asymmetric unit:
1 Hf 0.000 0.000 0.000
2 Au 0.000 0.000 0.500
3 C 0.250 0.250 0.250

Properties
- M_tot: 0.00 μB per cell
- Density of states at the Fermi level: 2.9 states/eV/f.u.
- ρ: 13631 kg/m³
- Calculated volume: 12.2 A^3/atom

--- ii ---
First-principles (PBE) data for an optimized crystal structure of HfAuC2, as listed in Alexandria via LeMat-Bulk.

Cell lengths 4.792, 4.792, 10.661 Å; angles 90.00, 90.00, 90.00 degrees
Space group I-42d (No. 122)
Asymmetric unit:
1 Hf 0.000 0.000 0.000
2 Au 0.000 0.000 0.500
3 C 0.243 0.250 0.625

Properties
- M_tot: 0.00 μB per cell
- Density of states at the Fermi level: 2.4 states/eV/f.u.
- ρ: 10841 kg/m³
- Calculated volume: 15.3 A^3/atom

Winner for stability: ii